No. 1
DFT (PBE-GGA) results for crystalline Mg3Zn2Cu2 at its relaxed geometry.

Unit cell a=6.649 b=6.649 c=12.794 alpha=59.74 beta=59.74 gamma=29.12
Element x y z (fractional)
1 Zn 0.922 0.922 0.297
2 Zn 0.078 0.078 0.703
3 Zn 0.595 0.595 0.312
4 Zn 0.405 0.405 0.688
5 Mg 0.873 0.873 0.099
6 Mg 0.127 0.127 0.901
7 Mg 0.821 0.821 0.887
8 Mg 0.179 0.179 0.113
9 Mg 0.650 0.650 0.496
10 Mg 0.350 0.350 0.504
11 Cu 0.736 0.736 0.706
12 Cu 0.264 0.264 0.294
13 Cu 0.524 0.524 0.111
14 Cu 0.476 0.476 0.889


No. 2
DFT (PBE-GGA) results for crystalline Mg5ZnCu at its relaxed geometry.

Unit cell a=4.532 b=4.532 c=6.874 alpha=90.00 beta=90.00 gamma=90.00
Element x y z (fractional)
1 Mg 0.500 0.500 0.000
2 Mg 0.000 0.500 0.273
3 Mg 0.500 0.000 0.273
4 Mg 0.000 0.500 0.727
5 Mg 0.500 0.000 0.727
6 Zn 0.500 0.500 0.500
7 Cu 0.000 0.000 0.000


No. 3
DFT (PBE-GGA) results for crystalline Mg2ZnCu2 at its relaxed geometry.

Unit cell a=7.755 b=7.755 c=5.241 alpha=90.00 beta=90.00 gamma=149.06
Element x y z (fractional)
1 Mg 0.775 0.225 0.676
2 Mg 0.225 0.775 0.176
3 Mg 0.030 0.970 0.149
4 Mg 0.970 0.030 0.649
5 Zn 0.604 0.396 0.432
6 Zn 0.396 0.604 0.932
7 Cu 0.614 0.386 0.930
8 Cu 0.386 0.614 0.430
9 Cu 0.853 0.147 0.179
10 Cu 0.147 0.853 0.679


No. 4
DFT (PBE-GGA) results for crystalline Mg3Zn7Cu2 at its relaxed geometry.

Unit cell a=9.057 b=9.057 c=9.057 alpha=32.66 beta=32.66 gamma=32.66
Element x y z (fractional)
1 Mg 0.000 0.000 0.000
2 Mg 0.856 0.856 0.856
3 Mg 0.144 0.144 0.144
4 Zn 0.500 0.500 0.500
5 Zn 0.418 0.418 0.921
6 Zn 0.418 0.921 0.418
7 Zn 0.921 0.418 0.418
8 Zn 0.582 0.582 0.079
9 Zn 0.079 0.582 0.582
10 Zn 0.582 0.079 0.582
11 Cu 0.667 0.667 0.667
12 Cu 0.333 0.333 0.333


No. 5
DFT (PBE-GGA) results for crystalline Mg5ZnCu at its relaxed geometry.

Unit cell a=4.519 b=4.519 c=6.892 alpha=90.00 beta=90.00 gamma=90.00
Element x y z (fractional)
1 Cu 0.500 0.500 0.500
2 Mg 0.500 0.500 0.000
3 Mg 0.000 0.500 0.285
4 Mg 0.500 0.000 0.285
5 Mg 0.000 0.500 0.715
6 Mg 0.500 0.000 0.715
7 Zn 0.000 0.000 0.000


No. 6
DFT (PBE-GGA) results for crystalline Mg17Zn11Cu at its relaxed geometry.

Unit cell a=8.866 b=8.866 c=8.944 alpha=109.65 beta=109.65 gamma=109.37
Element x y z (fractional)
1 Mg 0.998 0.998 0.339
2 Mg 0.679 0.679 0.288
3 Mg 0.659 0.659 0.658
4 Mg 0.397 0.397 0.711
5 Mg 0.004 0.004 0.003
6 Mg 0.317 0.599 0.000
7 Mg 0.394 0.706 0.392
8 Mg 0.999 0.316 0.601
9 Mg 0.006 0.343 0.005
10 Mg 0.287 0.685 0.685
11 Mg 0.602 0.998 0.316
12 Mg 0.998 0.602 0.316
13 Mg 0.685 0.287 0.685
14 Mg 0.343 0.006 0.005
15 Mg 0.316 0.999 0.601
16 Mg 0.706 0.394 0.392
17 Mg 0.599 0.317 0.000
18 Zn 0.192 0.192 0.830
19 Zn 0.634 0.814 0.998
20 Zn 0.182 0.365 0.363
21 Zn 0.816 0.002 0.636
22 Zn 0.637 0.001 0.815
23 Zn 0.820 0.187 0.186
24 Zn 0.187 0.820 0.186
25 Zn 0.001 0.637 0.815
26 Zn 0.002 0.816 0.636
27 Zn 0.365 0.182 0.363
28 Zn 0.814 0.634 0.998
29 Cu 0.362 0.362 0.179


No. 7
DFT (PBE-GGA) results for crystalline Mg3Zn2Cu at its relaxed geometry.

Unit cell a=6.011 b=6.017 c=7.284 alpha=90.00 beta=90.00 gamma=119.97
Element x y z (fractional)
1 Zn 0.667 0.333 0.075
2 Zn 0.333 0.667 0.575
3 Zn 0.333 0.667 0.925
4 Zn 0.667 0.333 0.425
5 Mg 0.656 0.827 0.250
6 Mg 0.171 0.827 0.250
7 Mg 0.172 0.343 0.250
8 Mg 0.344 0.173 0.750
9 Mg 0.829 0.173 0.750
10 Mg 0.828 0.657 0.750
11 Cu 0.000 0.000 0.000
12 Cu 0.000 0.000 0.500


No. 8
DFT (PBE-GGA) results for crystalline MgZn5Cu2 at its relaxed geometry.

Unit cell a=3.920 b=6.037 c=6.037 alpha=78.32 beta=71.06 gamma=71.06
Element x y z (fractional)
1 Mg 0.000 0.000 0.000
2 Zn 0.000 0.500 0.500
3 Zn 0.662 0.515 0.160
4 Zn 0.338 0.485 0.840
5 Zn 0.338 0.840 0.485
6 Zn 0.662 0.160 0.515
7 Cu 0.712 0.788 0.788
8 Cu 0.288 0.212 0.212


No. 9
DFT (PBE-GGA) results for crystalline MgZnCu at its relaxed geometry.

Unit cell a=5.184 b=5.739 c=7.069 alpha=69.14 beta=90.00 gamma=90.00
Element x y z (fractional)
1 Zn 0.855 0.678 0.480
2 Zn 0.355 0.322 0.020
3 Zn 0.145 0.322 0.520
4 Zn 0.645 0.678 0.980
5 Mg 0.133 0.720 0.116
6 Mg 0.633 0.280 0.384
7 Mg 0.867 0.280 0.884
8 Mg 0.367 0.720 0.616
9 Cu 0.086 0.074 0.300
10 Cu 0.586 0.926 0.200
11 Cu 0.914 0.926 0.700
12 Cu 0.414 0.074 0.800


No. 10
DFT (PBE-GGA) results for crystalline MgZn4Cu at its relaxed geometry.

Unit cell a=6.163 b=6.163 c=6.836 alpha=63.19 beta=63.19 gamma=89.96
Element x y z (fractional)
1 Mg 0.500 0.500 0.000
2 Mg 0.000 0.000 0.000
3 Zn 0.008 0.201 0.291
4 Zn 0.201 0.701 0.292
5 Zn 0.507 0.007 0.292
6 Zn 0.493 0.993 0.708
7 Zn 0.799 0.299 0.708
8 Zn 0.992 0.799 0.709
9 Zn 0.299 0.492 0.709
10 Zn 0.701 0.508 0.291
11 Cu 0.750 0.750 0.500
12 Cu 0.250 0.250 0.500


No. 11
DFT (PBE-GGA) results for crystalline Mg2ZnCu2 at its relaxed geometry.

Unit cell a=5.189 b=5.189 c=7.137 alpha=76.84 beta=76.84 gamma=60.56
Element x y z (fractional)
1 Cu 0.507 0.238 0.989
2 Cu 0.762 0.493 0.511
3 Cu 0.493 0.762 0.011
4 Cu 0.238 0.507 0.489
5 Mg 0.022 0.288 0.852
6 Mg 0.712 0.978 0.648
7 Mg 0.978 0.712 0.148
8 Mg 0.288 0.022 0.352
9 Zn 0.695 0.305 0.250
10 Zn 0.305 0.695 0.750


No. 12
DFT (PBE-GGA) results for crystalline MgZr2Cu at its relaxed geometry.

Unit cell a=10.077 b=10.077 c=10.077 alpha=17.58 beta=17.58 gamma=17.58
Element x y z (fractional)
1 Cu 0.250 0.250 0.250
2 Mg 0.750 0.750 0.750
3 Zr 0.991 0.991 0.991
4 Zr 0.509 0.509 0.509


The calculation returns the following DFT formation energy values, one per record and in order: -0.0275, 0.0116, -0.0776, -0.1271, -0.0270, -0.0674, 0.0889, -0.0095, -0.0493, 0.0375, -0.1354, 0.1089 eV/atom.
The calculation returns the following DFT total energy values, one per record and in order: -2.245, -1.895, -2.609, -1.952, -1.933, -1.627, -1.816, -2.029, -2.371, -1.760, -2.667, -5.588 eV/atom.
The calculation returns the following mass density values, one per record and in order: 4.7, 2.9, 4.9, 5.7, 3.0, 3.7, 3.9, 6.3, 5.2, 5.8, 5.0, 5.5 g cm⁻³.